Record 1
4
Lattice="1.7460 -2.0300 0.0000 1.7460 2.0300 0.0000 0.0000 0.0000 6.9712" Properties=species:S:1:pos:R:3 comment="Be2MoW | Alexandria | PBE-GGA | optimized geometry" sg="Cmmm (65)" ef_ev_per_atom=0.121 polymorph_energy_mev_per_atom=356 pbc="T T T"
Be 0.0000 0.0000 1.7372
Be 0.0000 0.0000 5.2340
Mo 1.7460 0.0000 0.0000
W 1.7460 0.0000 3.4856

=====

Record 2
3
Lattice="4.3225 0.0000 0.0000 -2.1613 3.7434 0.0000 0.0000 0.0000 2.6550" Properties=species:S:1:pos:R:3 comment="BeMoW | Alexandria | PBE-GGA | optimized geometry" sg="P3m1 (156)" ef_ev_per_atom=0.168 polymorph_energy_mev_per_atom=275 pbc="T T T"
Be 0.0000 0.0000 0.0000
Mo 2.1613 1.2478 0.9099
W 0.0000 2.4956 1.7485

=====

Record 3
4
Lattice="2.6658 0.0000 0.0000 0.0000 2.6658 0.0000 0.0000 0.0000 6.9690" Properties=species:S:1:pos:R:3 comment="Be2MoW | Alexandria | PBE-GGA | optimized geometry" sg="P4/mmm (123)" ef_ev_per_atom=0.137 polymorph_energy_mev_per_atom=372 pbc="T T T"
Be 0.0000 0.0000 1.7399
Be 0.0000 0.0000 5.2291
Mo 1.3329 1.3329 0.0000
W 1.3329 1.3329 3.4845

=====

Record 4
4
Lattice="1.3801 0.7968 9.0504 -1.3801 0.7968 9.0504 0.0000 -1.5936 9.0504" Properties=species:S:1:pos:R:3 comment="BeMoW2 | Alexandria | PBE-GGA | optimized geometry" sg="R-3m (166)" ef_ev_per_atom=0.442 pbc="T T T"
Be 0.0000 0.0000 0.0000
Mo 0.0000 0.0000 13.5756
W 0.0000 0.0000 6.9940
W 0.0000 0.0000 20.1571

=====

Record 5
4
Lattice="3.4732 0.0000 0.0000 0.0000 3.4841 0.0000 0.0000 0.0000 4.0839" Properties=species:S:1:pos:R:3 comment="Be2MoW | Alexandria | PBE-GGA | optimized geometry" sg="Pmmm (47)" ef_ev_per_atom=0.136 polymorph_energy_mev_per_atom=370 pbc="T T T"
Be 0.0000 0.0000 0.0000
Be 0.0000 1.7420 2.0419
Mo 1.7366 0.0000 2.0419
W 1.7366 1.7420 0.0000

=====

Record 6
4
Lattice="3.1979 0.0000 0.0000 0.0000 3.1979 0.0000 0.0000 0.0000 5.6600" Properties=species:S:1:pos:R:3 comment="BeMoW2 | Alexandria | PBE-GGA | optimized geometry" sg="P4mm (99)" ef_ev_per_atom=0.141 pbc="T T T"
Be 0.0000 0.0000 0.0000
Mo 1.5990 1.5990 1.2733
W 0.0000 0.0000 2.8362
W 1.5990 1.5990 4.3966

=====

Record 7
4
Lattice="3.8159 0.0000 0.0000 0.0000 3.8159 0.0000 0.0000 0.0000 4.0102" Properties=species:S:1:pos:R:3 comment="BeMoW2 | Alexandria | PBE-GGA | optimized geometry" sg="P4/mmm (123)" ef_ev_per_atom=0.231 pbc="T T T"
Be 0.0000 0.0000 0.0000
Mo 1.9079 1.9079 0.0000
W 0.0000 1.9079 2.0051
W 1.9079 0.0000 2.0051

=====

Record 8
4
Lattice="2.6016 0.0000 0.0000 0.0000 4.0408 0.0000 0.0000 0.0000 5.0108" Properties=species:S:1:pos:R:3 comment="Be2MoW | Alexandria | PBE-GGA | optimized geometry" sg="Pmm2 (25)" ef_ev_per_atom=0.396 polymorph_energy_mev_per_atom=631 pbc="T T T"
Be 0.0000 0.0000 0.0000
Be 1.3008 2.0204 1.3035
Mo 0.0000 0.0000 2.4665
W 1.3008 2.0204 3.8509

=====

Record 9
4
Lattice="2.6813 -4.1127 0.0000 2.6813 4.1127 0.0000 0.0000 0.0000 2.7043" Properties=species:S:1:pos:R:3 comment="BeMoW2 | Alexandria | PBE-GGA | optimized geometry" sg="Cmmm (65)" ef_ev_per_atom=0.365 pbc="T T T"
Be 0.0000 0.0000 0.0000
Mo 2.6813 0.0000 0.0000
W 1.3407 2.0564 1.3522
W 1.3407 -2.0564 1.3522

=====

Record 10
6
Lattice="0.0000 3.1556 3.1556 3.1556 0.0000 3.1556 3.1556 3.1556 0.0000" Properties=species:S:1:pos:R:3 comment="Be4MoW | Alexandria | PBE-GGA | optimized geometry" sg="F-43m (216)" ef_ev_per_atom=-0.323 pbc="T T T"
Be 0.7902 0.7902 0.7902
Be 2.3655 2.3655 0.7902
Be 2.3655 0.7902 2.3655
Be 0.7902 2.3655 2.3655
Mo 4.7334 4.7334 4.7334
W 3.1556 3.1556 3.1556

=====

Record 11
4
Lattice="2.6448 0.0000 0.0000 0.0000 4.1122 0.0000 0.0000 0.0000 5.4989" Properties=species:S:1:pos:R:3 comment="BeMoW2 | Alexandria | PBE-GGA | optimized geometry" sg="Pmm2 (25)" ef_ev_per_atom=0.329 pbc="T T T"
Be 0.0000 0.0000 0.0000
Mo 1.3224 2.0561 1.2968
W 0.0000 0.0000 2.7665
W 1.3224 2.0561 4.2287

=====

Record 12
8
Lattice="-3.1448 3.1448 2.5800 3.1448 -3.1448 2.5800 3.1448 3.1448 -2.5800" Properties=species:S:1:pos:R:3 comment="Be2MoW | Alexandria | PBE-GGA | optimized geometry" sg="I-42d (122)" ef_ev_per_atom=0.456 polymorph_energy_mev_per_atom=690 pbc="T T T"
Be 1.5724 1.5543 -0.6450
Be 1.5905 -1.5724 3.2250
Be 1.5724 1.5905 1.9350
Be 1.5543 4.7172 0.6450
Mo 0.0000 0.0000 0.0000
Mo 0.0000 3.1448 1.2900
W 3.1448 0.0000 1.2900
W 0.0000 0.0000 2.5800

=====

Record 13
4
Lattice="1.3615 0.7861 8.2426 -1.3615 0.7861 8.2426 0.0000 -1.5721 8.2426" Properties=species:S:1:pos:R:3 comment="Be2MoW | Alexandria | PBE-GGA | optimized geometry" sg="R-3m (166)" ef_ev_per_atom=0.406 polymorph_energy_mev_per_atom=640 pbc="T T T"
Be 0.0000 0.0000 6.1832
Be 0.0000 0.0000 18.5447
Mo 0.0000 0.0000 0.0000
W 0.0000 0.0000 12.3639

=====

Record 14
4
Lattice="2.6733 0.0000 0.0000 0.0000 3.4869 0.0000 -0.7939 0.0000 5.2992" Properties=species:S:1:pos:R:3 comment="Be2MoW | Alexandria | PBE-GGA | optimized geometry" sg="P2/m (10)" ef_ev_per_atom=0.124 polymorph_energy_mev_per_atom=358 pbc="T T T"
Be -0.1884 0.0000 1.3181
Be 2.0678 0.0000 3.9811
Mo 0.9397 1.7434 2.6496
W 1.3366 1.7434 0.0000

=====

Record 15
4
Lattice="2.6834 0.0000 0.0000 0.0000 4.3608 0.0000 -0.9178 0.0000 5.0651" Properties=species:S:1:pos:R:3 comment="BeMoW2 | Alexandria | PBE-GGA | optimized geometry" sg="Pm (6)" ef_ev_per_atom=0.197 pbc="T T T"
Be 0.0000 0.0000 0.0000
Mo 1.8103 2.1804 1.2315
W -0.0211 2.1804 3.8215
W 0.9184 0.0000 2.5224

=====

Record 16
4
Lattice="2.6790 0.0000 0.0000 0.0000 2.6790 0.0000 0.0000 0.0000 8.0478" Properties=species:S:1:pos:R:3 comment="BeMoW2 | Alexandria | PBE-GGA | optimized geometry" sg="P4mm (99)" ef_ev_per_atom=0.244 pbc="T T T"
Be 0.0000 0.0000 0.0000
Mo 1.3395 1.3395 1.7194
W 0.0000 0.0000 4.0227
W 1.3395 1.3395 6.3320

=====

Record 17
4
Lattice="-1.5916 2.0195 3.8639 1.5916 -2.0195 3.8639 1.5916 2.0195 -3.8639" Properties=species:S:1:pos:R:3 comment="Be2MoW | Alexandria | PBE-GGA | optimized geometry" sg="Imm2 (44)" ef_ev_per_atom=0.071 polymorph_energy_mev_per_atom=305 pbc="T T T"
Be 0.0000 0.0000 0.0000
Be 0.0000 2.0195 2.3731
Mo 1.5916 0.0000 2.0574
W 0.0000 0.0000 4.1679

=====

Record 18
3
Lattice="-1.3345 1.3345 5.7728 1.3345 -1.3345 5.7728 1.3345 1.3345 -5.7728" Properties=species:S:1:pos:R:3 comment="BeMoW | Alexandria | PBE-GGA | optimized geometry" sg="I4mm (107)" ef_ev_per_atom=0.216 polymorph_energy_mev_per_atom=323 pbc="T T T"
Be 0.0000 0.0000 0.0000
Mo 0.0000 0.0000 7.5039
W 0.0000 0.0000 4.0549

=====

Record 19
3
Lattice="0.0000 2.1676 5.7806 1.6410 0.0000 5.7806 1.6410 2.1676 0.0000" Properties=species:S:1:pos:R:3 comment="BeMoW | Alexandria | PBE-GGA | optimized geometry" sg="Fmm2 (42)" ef_ev_per_atom=0.133 polymorph_energy_mev_per_atom=241 pbc="T T T"
Be 0.0000 0.0000 0.0000
Mo 1.6410 2.1676 4.0165
W 1.6410 2.1676 7.5581

=====

Record 20
4
Lattice="3.2710 0.0000 0.0000 0.0000 1.6090 4.4316 0.0000 -1.6090 4.4316" Properties=species:S:1:pos:R:3 comment="Be2MoW | Alexandria | PBE-GGA | optimized geometry" sg="Amm2 (38)" ef_ev_per_atom=-0.234 polymorph_energy_mev_per_atom=0 pbc="T T T"
Be 0.0000 0.0000 0.0000
Be 1.6355 0.0000 1.2039
Mo 0.0000 0.0000 6.4013
W 1.6355 0.0000 3.6574

=====

| no. | mass density (kg/m³) | E_tot (eV/cell) |
| --- | --- | --- |
| 1 | 10007 | -30.75 |
| 2 | 11163 | -27.01 |
| 3 | 9985 | -30.69 |
| 4 | 13144 | -38.69 |
| 5 | 10007 | -30.69 |
| 6 | 13559 | -39.90 |
| 7 | 13441 | -39.54 |
| 8 | 9388 | -29.65 |
| 9 | 13158 | -39.00 |
| 10 | 8345 | -40.63 |
| 11 | 13123 | -39.15 |
| 12 | 9690 | -58.83 |
| 13 | 9343 | -29.61 |
| 14 | 10011 | -30.74 |
| 15 | 13242 | -39.67 |
| 16 | 13588 | -39.49 |
| 17 | 9954 | -30.95 |
| 18 | 11661 | -26.86 |
| 19 | 11661 | -27.11 |
| 20 | 10601 | -32.17 |